## P
# Ag2F3

Crystalline Ag2F3 at its relaxed geometry (GGA-PBE, the Open Quantum Materials Database).

Cell: 4.2215 4.2215 4.3496 Å, 90.00 90.00 90.00°
With the nearest neighbours (Å) after each atom.
Fractional positions:
Ag: 0.0000 0.0000 0.0000  6 F 2.12-2.19
Ag: 0.5000 0.5000 0.4013  4 F 2.64
F: 0.0000 0.0000 0.5027  2 Ag 2.16-2.19
F: 0.0000 0.5000 0.0380  2 Ag 2.12
F: 0.5000 0.0000 0.0380  2 Ag 2.12


## Q
# Ag2F3

Crystalline Ag2F3 at its relaxed geometry (GGA-PBE, the Open Quantum Materials Database).

Cell: 4.1936 4.1936 4.1936 Å, 90.00 90.00 90.00°
With the nearest neighbours (Å) after each atom.
Fractional positions:
Ag: 0.0000 0.0000 0.0000  6 F 2.10
Ag: 0.5000 0.5000 0.5000  12 F 2.97
F: 0.0000 0.0000 0.5000  2 Ag 2.10
F: 0.0000 0.5000 0.0000  2 Ag 2.10
F: 0.5000 0.0000 0.0000  2 Ag 2.10


## R
# Ag2F3

Crystalline Ag2F3 at its relaxed geometry (GGA-PBE, the Open Quantum Materials Database).

Cell: 6.1892 6.1892 6.1892 Å, 55.49 55.49 55.49°
With the nearest neighbours (Å) after each atom.
Fractional positions:
Ag: 0.1514 0.1514 0.1514  6 F 2.27-2.35
Ag: 0.3481 0.3481 0.3481  6 F 2.26-2.36
Ag: 0.6519 0.6519 0.6519  6 F 2.26-2.36
Ag: 0.8486 0.8486 0.8486  6 F 2.27-2.35
F: 0.0605 0.7481 0.4426  4 Ag 2.26-2.36
F: 0.2519 0.5574 0.9395  4 Ag 2.26-2.36
F: 0.4426 0.0605 0.7481  4 Ag 2.26-2.36
F: 0.5574 0.9395 0.2519  4 Ag 2.26-2.36
F: 0.7481 0.4426 0.0605  4 Ag 2.26-2.36
F: 0.9395 0.2519 0.5574  4 Ag 2.26-2.36


## S
# Ag2F3

Crystalline Ag2F3 at its relaxed geometry (GGA-PBE, the Open Quantum Materials Database).

Cell: 5.6775 5.6775 5.6775 Å, 62.67 62.67 62.67°
With the nearest neighbours (Å) after each atom.
Fractional positions:
Ag: 0.0000 0.0000 0.0000  6 F 2.16
Ag: 0.2500 0.2500 0.2500  3 F 2.27
Ag: 0.5000 0.5000 0.5000  6 F 2.16
Ag: 0.7500 0.7500 0.7500  3 F 2.27
F: 0.1344 0.7500 0.3656  3 Ag 2.16-2.27
F: 0.2500 0.6344 0.8656  3 Ag 2.16-2.27
F: 0.3656 0.1344 0.7500  3 Ag 2.16-2.27
F: 0.6344 0.8656 0.2500  3 Ag 2.16-2.27
F: 0.7500 0.3656 0.1344  3 Ag 2.16-2.27
F: 0.8656 0.2500 0.6344  3 Ag 2.16-2.27


Q: Which of them is the least stable? A: Q.


## P
# K2InAgF6

Crystalline K2InAgF6 at its relaxed geometry (GGA-PBE, the Open Quantum Materials Database).

Cell: 5.7991 5.7991 5.7991 Å, 64.45 64.45 64.45°
With the nearest neighbours (Å) after each atom.
Fractional positions:
K: 0.0000 0.0000 0.0000  3 F 2.51
K: 0.4904 0.4904 0.4904  3 F 2.51
In: 0.7450 0.7450 0.7450  6 F 2.07
Ag: 0.2459 0.2459 0.2459  6 F 2.33-2.34
F: 0.0744 0.5275 0.8852  1 In 2.07
F: 0.4149 0.9589 0.6058  1 In 2.07
F: 0.5275 0.8852 0.0744  1 In 2.07
F: 0.6058 0.4149 0.9589  1 In 2.07
F: 0.8852 0.0744 0.5275  1 In 2.07
F: 0.9589 0.6058 0.4149  1 In 2.07


## Q
# K2InAgF6

Crystalline K2InAgF6 at its relaxed geometry (GGA-PBE, the Open Quantum Materials Database).

Cell: 6.1672 6.1672 6.1672 Å, 60.00 60.00 60.00°
With the nearest neighbours (Å) after each atom.
Fractional positions:
K: 0.2500 0.2500 0.2500  12 F 3.09
K: 0.7500 0.7500 0.7500  12 F 3.09
In: 0.0000 0.0000 0.0000  6 F 2.06
Ag: 0.5000 0.5000 0.5000  6 F 2.30
F: 0.2364 0.2364 0.7636  1 In 2.06, 1 Ag 2.30
F: 0.2364 0.7636 0.2364  1 In 2.06, 1 Ag 2.30
F: 0.2364 0.7636 0.7636  1 In 2.06, 1 Ag 2.30
F: 0.7636 0.2364 0.2364  1 In 2.06, 1 Ag 2.30
F: 0.7636 0.2364 0.7636  1 In 2.06, 1 Ag 2.30
F: 0.7636 0.7636 0.2364  1 In 2.06, 1 Ag 2.30


Q: Which of them is the least stable? A: P.


## P
# K3AgF6

Crystalline K3AgF6 at its relaxed geometry (GGA-PBE, the Open Quantum Materials Database).

Cell: 6.1425 6.1425 6.1425 Å, 60.00 60.00 60.00°
With the nearest neighbours (Å) after each atom.
Fractional positions:
K: 0.0000 0.0000 0.0000  6 F 2.30
K: 0.2500 0.2500 0.2500  12 F 3.07
K: 0.7500 0.7500 0.7500  12 F 3.07
Ag: 0.5000 0.5000 0.5000  6 F 2.04
F: 0.2646 0.2646 0.7354  1 Ag 2.04
F: 0.2646 0.7354 0.2646  1 Ag 2.04
F: 0.2646 0.7354 0.7354  1 Ag 2.04
F: 0.7354 0.2646 0.2646  1 Ag 2.04
F: 0.7354 0.2646 0.7354  1 Ag 2.04
F: 0.7354 0.7354 0.2646  1 Ag 2.04


## Q
# K3AgF6

Crystalline K3AgF6 at its relaxed geometry (GGA-PBE, the Open Quantum Materials Database).

Cell: 6.0445 6.3802 10.3811 Å, 90.00 124.91 90.00°
With the nearest neighbours (Å) after each atom.
Fractional positions:
K: 0.0000 0.0000 0.0000  6 F 2.46-2.50
K: 0.0000 0.5000 0.5000  6 F 2.46-2.50
K: 0.2271 0.0615 0.7476  6 F 2.55-2.86
K: 0.2271 0.4385 0.2476  6 F 2.55-2.86
K: 0.7729 0.5615 0.7524  6 F 2.55-2.86
K: 0.7729 0.9385 0.2524  6 F 2.55-2.86
Ag: 0.5000 0.0000 0.5000  6 F 2.06-2.14
Ag: 0.5000 0.5000 0.0000  6 F 2.06-2.14
F: 0.1700 0.1800 0.4515  1 Ag 2.10
F: 0.1700 0.3200 0.9515  1 Ag 2.10
F: 0.2568 0.7242 0.4301  1 Ag 2.14
F: 0.2568 0.7758 0.9301  1 Ag 2.14
F: 0.3925 0.0531 0.2757  1 Ag 2.06
F: 0.3925 0.4469 0.7757  1 Ag 2.06
F: 0.6075 0.5531 0.2243  1 Ag 2.06
F: 0.6075 0.9469 0.7243  1 Ag 2.06
F: 0.7432 0.2242 0.0699  1 Ag 2.14
F: 0.7432 0.2758 0.5699  1 Ag 2.14
F: 0.8300 0.6800 0.0485  1 Ag 2.10
F: 0.8300 0.8200 0.5485  1 Ag 2.10


Q: Which of them is the least stable? A: P.


## P
# K2AgF4

Crystalline K2AgF4 at its relaxed geometry (GGA-PBE, the Open Quantum Materials Database).

Cell: 3.6362 9.9145 6.2791 Å, 90.00 90.67 90.00°
With the nearest neighbours (Å) after each atom.
Fractional positions:
K: 0.0190 0.1791 0.4168  7 F 2.56-2.80
K: 0.0190 0.3209 0.9168  7 F 2.56-2.80
K: 0.9810 0.6791 0.0832  7 F 2.56-2.80
K: 0.9810 0.8209 0.5832  7 F 2.56-2.80
Ag: 0.5000 0.0000 0.0000  4 F 2.11-2.14
Ag: 0.5000 0.5000 0.5000  4 F 2.11-2.14
F: 0.0828 0.0549 0.7731  1 Ag 2.14
F: 0.0828 0.4451 0.2731  1 Ag 2.14
F: 0.4816 0.6963 0.3715  1 Ag 2.11
F: 0.4816 0.8037 0.8715  1 Ag 2.11
F: 0.5184 0.1963 0.1285  1 Ag 2.11
F: 0.5184 0.3037 0.6285  1 Ag 2.11
F: 0.9172 0.5549 0.7269  1 Ag 2.14
F: 0.9172 0.9451 0.2269  1 Ag 2.14


## Q
# K2AgF4

Crystalline K2AgF4 at its relaxed geometry (GGA-PBE, the Open Quantum Materials Database).

Cell: 6.9311 6.9311 6.3333 Å, 90.00 90.00 130.47°
With the nearest neighbours (Å) after each atom.
Fractional positions:
K: 0.1424 0.8576 0.9761  4 F 2.45-2.70
K: 0.3576 0.6424 0.4761  4 F 2.45-2.70
K: 0.6424 0.3576 0.5239  4 F 2.45-2.70
K: 0.8576 0.1424 0.0239  4 F 2.45-2.70
Ag: 0.0000 0.0000 0.5000  6 F 2.17-2.18
Ag: 0.5000 0.5000 0.0000  6 F 2.17-2.18
F: 0.1693 0.8307 0.5735  1 Ag 2.18
F: 0.2254 0.2746 0.7500  2 Ag 2.17
F: 0.2746 0.2254 0.2500  2 Ag 2.17
F: 0.3307 0.6693 0.0735  1 Ag 2.18
F: 0.6693 0.3307 0.9265  1 Ag 2.18
F: 0.7254 0.7746 0.7500  2 Ag 2.17
F: 0.7746 0.7254 0.2500  2 Ag 2.17
F: 0.8307 0.1693 0.4265  1 Ag 2.18


Q: Which of them is the least stable? A: P.


## P
# K2LiAgF6

Crystalline K2LiAgF6 at its relaxed geometry (GGA-PBE, the Open Quantum Materials Database).

Cell: 10.1495 10.1495 10.1495 Å, 32.32 32.32 32.32°
With the nearest neighbours (Å) after each atom.
Fractional positions:
K: 0.1254 0.1254 0.1254  12 F 2.83-2.95
K: 0.2885 0.2885 0.2885  12 F 2.76-2.96
K: 0.7115 0.7115 0.7115  12 F 2.76-2.96
K: 0.8746 0.8746 0.8746  12 F 2.83-2.95
Li: 0.4101 0.4101 0.4101  3 F 1.87
Li: 0.5899 0.5899 0.5899  3 F 1.87
Ag: 0.0000 0.0000 0.0000  6 F 2.07
Ag: 0.5000 0.5000 0.5000  6 F 2.08
F: 0.1194 0.6241 0.6241  1 Ag 2.08, 1 Li 2.11
F: 0.2137 0.2137 0.6979  1 Li 1.87, 1 Ag 2.07
F: 0.2137 0.6979 0.2137  1 Li 1.87, 1 Ag 2.07
F: 0.3021 0.7863 0.7863  1 Li 1.87, 1 Ag 2.07
F: 0.3759 0.3759 0.8806  1 Ag 2.08, 1 Li 2.11
F: 0.3759 0.8806 0.3759  1 Ag 2.08, 1 Li 2.11
F: 0.6241 0.1194 0.6241  1 Ag 2.08, 1 Li 2.11
F: 0.6241 0.6241 0.1194  1 Ag 2.08, 1 Li 2.11
F: 0.6979 0.2137 0.2137  1 Li 1.87, 1 Ag 2.07
F: 0.7863 0.3021 0.7863  1 Li 1.87, 1 Ag 2.07
F: 0.7863 0.7863 0.3021  1 Li 1.87, 1 Ag 2.07
F: 0.8806 0.3759 0.3759  1 Ag 2.08, 1 Li 2.11


## Q
# K2LiAgF6

Crystalline K2LiAgF6 at its relaxed geometry (GGA-PBE, the Open Quantum Materials Database).

Cell: 5.7026 5.7026 5.7026 Å, 60.06 60.06 60.06°
With the nearest neighbours (Å) after each atom.
Fractional positions:
K: 0.2500 0.2500 0.2500  12 F 2.85-2.86
K: 0.7500 0.7500 0.7500  12 F 2.85-2.86
Li: 0.0000 0.0000 0.0000  6 F 1.95
Ag: 0.5000 0.5000 0.5000  6 F 2.08
F: 0.2421 0.2421 0.7570  1 Li 1.95, 1 Ag 2.08
F: 0.2421 0.7570 0.2421  1 Li 1.95, 1 Ag 2.08
F: 0.2430 0.7579 0.7579  1 Li 1.95, 1 Ag 2.08
F: 0.7570 0.2421 0.2421  1 Li 1.95, 1 Ag 2.08
F: 0.7579 0.2430 0.7579  1 Li 1.95, 1 Ag 2.08
F: 0.7579 0.7579 0.2430  1 Li 1.95, 1 Ag 2.08


## R
# K2LiAgF6

Crystalline K2LiAgF6 at its relaxed geometry (GGA-PBE, the Open Quantum Materials Database).

Cell: 5.6830 5.6830 5.6830 Å, 60.00 60.00 60.00°
With the nearest neighbours (Å) after each atom.
Fractional positions:
K: 0.2500 0.2500 0.2500  12 F 2.84
K: 0.7500 0.7500 0.7500  12 F 2.84
Li: 0.0000 0.0000 0.0000  6 F 1.94
Ag: 0.5000 0.5000 0.5000  6 F 2.08
F: 0.2417 0.2417 0.7583  1 Li 1.94, 1 Ag 2.08
F: 0.2417 0.7583 0.2417  1 Li 1.94, 1 Ag 2.08
F: 0.2417 0.7583 0.7583  1 Li 1.94, 1 Ag 2.08
F: 0.7583 0.2417 0.2417  1 Li 1.94, 1 Ag 2.08
F: 0.7583 0.2417 0.7583  1 Li 1.94, 1 Ag 2.08
F: 0.7583 0.7583 0.2417  1 Li 1.94, 1 Ag 2.08


Q: Which of them is the least stable? A: P.


## P
# K2LiAgF6

Crystalline K2LiAgF6 at its relaxed geometry (GGA-PBE, the Open Quantum Materials Database).

Cell: 5.6967 5.7250 9.8101 Å, 90.00 125.46 90.00°
With the nearest neighbours (Å) after each atom.
Fractional positions:
K: 0.2495 0.0016 0.2491  12 F 2.77-2.93
K: 0.2495 0.4984 0.7491  12 F 2.77-2.93
K: 0.7505 0.5016 0.2509  12 F 2.77-2.93
K: 0.7505 0.9984 0.7509  12 F 2.77-2.93
Li: 0.5000 0.0000 0.0000  6 F 1.94-1.95
Li: 0.5000 0.5000 0.5000  6 F 1.94-1.95
Ag: 0.0000 0.0000 0.5000  6 F 2.05-2.10
Ag: 0.0000 0.5000 0.0000  6 F 2.05-2.10
F: 0.2442 0.0000 0.7559  1 Li 1.95, 1 Ag 2.05
F: 0.2442 0.5000 0.2559  1 Li 1.95, 1 Ag 2.05
F: 0.2575 0.7325 0.5052  1 Li 1.94, 1 Ag 2.10
F: 0.2575 0.7675 0.0052  1 Li 1.94, 1 Ag 2.10
F: 0.2720 0.2491 0.0056  1 Li 1.95, 1 Ag 2.09
F: 0.2720 0.2509 0.5056  1 Li 1.95, 1 Ag 2.09
F: 0.7280 0.7491 0.4944  1 Li 1.95, 1 Ag 2.09
F: 0.7280 0.7509 0.9944  1 Li 1.95, 1 Ag 2.09
F: 0.7425 0.2325 0.9948  1 Li 1.94, 1 Ag 2.10
F: 0.7425 0.2675 0.4948  1 Li 1.94, 1 Ag 2.10
F: 0.7558 0.0000 0.2441  1 Li 1.95, 1 Ag 2.05
F: 0.7558 0.5000 0.7441  1 Li 1.95, 1 Ag 2.05


## Q
# K2LiAgF6

Crystalline K2LiAgF6 at its relaxed geometry (GGA-PBE, the Open Quantum Materials Database).

Cell: 5.7951 5.7951 5.7951 Å, 122.83 122.83 85.16°
With the nearest neighbours (Å) after each atom.
Fractional positions:
K: 0.2500 0.7500 0.5000  8 F 2.72-2.78
K: 0.7500 0.2500 0.5000  8 F 2.72-2.78
Li: 0.0000 0.0000 0.0000  6 F 1.91-1.98
Ag: 0.5000 0.5000 0.0000  4 F 1.98
F: 0.2146 0.7142 0.9288  1 Ag 1.98, 1 Li 1.98
F: 0.2243 0.2243 0.0000  1 Li 1.91
F: 0.2858 0.2146 0.5003  1 Ag 1.98, 1 Li 1.98
F: 0.7142 0.7854 0.4997  1 Ag 1.98, 1 Li 1.98
F: 0.7757 0.7757 0.0000  1 Li 1.91
F: 0.7854 0.2858 0.0712  1 Ag 1.98, 1 Li 1.98


Q: Which of them is the least stable? A: P.


## P
# K2LiAgF6

Crystalline K2LiAgF6 at its relaxed geometry (GGA-PBE, the Open Quantum Materials Database).

Cell: 5.7011 5.7047 8.0770 Å, 90.02 90.00 90.04°
With the nearest neighbours (Å) after each atom.
Fractional positions:
K: 0.0001 0.0001 0.2501  12 F 2.82-2.88
K: 0.9999 0.9999 0.7499  12 F 2.82-2.88
K: 0.5002 0.5004 0.2500  12 F 2.83-2.89
K: 0.4998 0.4996 0.7500  12 F 2.83-2.89
Li: 0.0000 0.5000 0.0000  6 F 1.95-1.96
Li: 0.5000 0.0000 0.5000  6 F 1.95-1.96
Ag: 0.0000 0.5000 0.5000  6 F 2.08
Ag: 0.5000 0.0000 0.0000  6 F 2.08
F: 0.0011 0.5001 0.2424  1 Li 1.96, 1 Ag 2.08
F: 0.2369 0.7461 0.9992  1 Li 1.95, 1 Ag 2.08
F: 0.2466 0.2616 0.9998  1 Li 1.96, 1 Ag 2.08
F: 0.2558 0.2399 0.5004  1 Li 1.95, 1 Ag 2.08
F: 0.2608 0.7555 0.5007  1 Li 1.95, 1 Ag 2.08
F: 0.4992 0.0002 0.2574  1 Li 1.96, 1 Ag 2.08
F: 0.5008 0.9998 0.7426  1 Li 1.96, 1 Ag 2.08
F: 0.7392 0.2445 0.4993  1 Li 1.95, 1 Ag 2.08
F: 0.7442 0.7601 0.4996  1 Li 1.95, 1 Ag 2.08
F: 0.7534 0.7384 0.0002  1 Li 1.96, 1 Ag 2.08
F: 0.7631 0.2539 0.0008  1 Li 1.95, 1 Ag 2.08
F: 0.9989 0.4999 0.7576  1 Li 1.96, 1 Ag 2.08


## Q
# K2LiAgF6

Crystalline K2LiAgF6 at its relaxed geometry (GGA-PBE, the Open Quantum Materials Database).

Cell: 5.6872 5.6872 5.6872 Å, 59.82 59.82 59.82°
With the nearest neighbours (Å) after each atom.
Fractional positions:
K: 0.2501 0.2501 0.2501  12 F 2.83-2.85
K: 0.7499 0.7499 0.7499  12 F 2.83-2.85
Li: 0.0000 0.0000 0.0000  6 F 1.94
Ag: 0.5000 0.5000 0.5000  6 F 2.08
F: 0.2405 0.7579 0.2425  1 Li 1.94, 1 Ag 2.08
F: 0.2425 0.2405 0.7579  1 Li 1.94, 1 Ag 2.08
F: 0.2421 0.7575 0.7595  1 Li 1.94, 1 Ag 2.08
F: 0.7579 0.2425 0.2405  1 Li 1.94, 1 Ag 2.08
F: 0.7575 0.7595 0.2421  1 Li 1.94, 1 Ag 2.08
F: 0.7595 0.2421 0.7575  1 Li 1.94, 1 Ag 2.08


Q: Which of them is the least stable? A: Q.


## P
# K2NaAgF6

Crystalline K2NaAgF6 at its relaxed geometry (GGA-PBE, the Open Quantum Materials Database).

Cell: 5.8382 5.8382 5.8382 Å, 60.08 60.08 60.08°
With the nearest neighbours (Å) after each atom.
Fractional positions:
K: 0.2500 0.2500 0.2500  12 F 2.91-2.93
K: 0.7500 0.7500 0.7500  12 F 2.91-2.93
Na: 0.0000 0.0000 0.0000  6 F 2.08
Ag: 0.5000 0.5000 0.5000  6 F 2.05
F: 0.2518 0.2518 0.7472  1 Ag 2.05, 1 Na 2.08
F: 0.2518 0.7472 0.2518  1 Ag 2.05, 1 Na 2.08
F: 0.2528 0.7482 0.7482  1 Ag 2.05, 1 Na 2.08
F: 0.7472 0.2518 0.2518  1 Ag 2.05, 1 Na 2.08
F: 0.7482 0.2528 0.7482  1 Ag 2.05, 1 Na 2.08
F: 0.7482 0.7482 0.2528  1 Ag 2.05, 1 Na 2.08


## Q
# K2NaAgF6

Crystalline K2NaAgF6 at its relaxed geometry (GGA-PBE, the Open Quantum Materials Database).

Cell: 5.9008 5.9366 10.1602 Å, 90.00 125.36 90.00°
With the nearest neighbours (Å) after each atom.
Fractional positions:
K: 0.2425 0.0347 0.2495  8 F 2.60-2.89
K: 0.2425 0.4653 0.7495  8 F 2.60-2.89
K: 0.7575 0.5347 0.2505  8 F 2.60-2.89
K: 0.7575 0.9653 0.7505  8 F 2.60-2.89
Na: 0.0000 0.0000 0.5000  6 F 2.16-2.18
Na: 0.0000 0.5000 0.0000  6 F 2.16-2.18
Ag: 0.5000 0.0000 0.0000  6 F 2.06-2.10
Ag: 0.5000 0.5000 0.5000  6 F 2.06-2.10
F: 0.1834 0.2082 0.9675  1 Ag 2.10, 1 Na 2.17
F: 0.1834 0.2918 0.4675  1 Ag 2.10, 1 Na 2.17
F: 0.2593 0.7162 0.9653  1 Ag 2.10, 1 Na 2.18
F: 0.2593 0.7838 0.4653  1 Ag 2.10, 1 Na 2.18
F: 0.3222 0.0138 0.7565  1 Ag 2.06, 1 Na 2.16
F: 0.3222 0.4862 0.2565  1 Ag 2.06, 1 Na 2.16
F: 0.6778 0.5138 0.7435  1 Ag 2.06, 1 Na 2.16
F: 0.6778 0.9862 0.2435  1 Ag 2.06, 1 Na 2.16
F: 0.7407 0.2162 0.5347  1 Ag 2.10, 1 Na 2.18
F: 0.7407 0.2838 0.0347  1 Ag 2.10, 1 Na 2.18
F: 0.8166 0.7082 0.5325  1 Ag 2.10, 1 Na 2.17
F: 0.8166 0.7918 0.0325  1 Ag 2.10, 1 Na 2.17


## R
# K2NaAgF6

Crystalline K2NaAgF6 at its relaxed geometry (GGA-PBE, the Open Quantum Materials Database).

Cell: 6.0565 6.0565 6.0565 Å, 124.65 124.65 82.12°
With the nearest neighbours (Å) after each atom.
Fractional positions:
K: 0.2500 0.7500 0.5000  8 F 2.69-2.81
K: 0.7500 0.2500 0.5000  8 F 2.69-2.81
Na: 0.0000 0.0000 0.0000  6 F 2.17-2.18
Ag: 0.5000 0.5000 0.0000  4 F 1.97
F: 0.1913 0.6644 0.8557  1 Ag 1.97, 1 Na 2.17
F: 0.2392 0.2392 0.0000  1 Na 2.18, 1 Ag 2.38
F: 0.3356 0.1913 0.5269  1 Ag 1.97, 1 Na 2.17
F: 0.6644 0.8087 0.4731  1 Ag 1.97, 1 Na 2.17
F: 0.7608 0.7608 0.0000  1 Na 2.18, 1 Ag 2.38
F: 0.8087 0.3356 0.1443  1 Ag 1.97, 1 Na 2.17


Q: Which of them is the least stable? A: P.